# ZrTcHg, relaxed, DFT GGA-PBE
data_ZrTcHg
_chemical_formula_sum 'Zr1 Tc1 Hg1'
_space_group_name_H-M_alt 'P 3 m 1'
_space_group_IT_number 156
_cell_length_a 3.3044
_cell_length_b 3.3044
_cell_length_c 6.4978
_cell_angle_alpha 90.00
_cell_angle_beta 90.00
_cell_angle_gamma 120.00
loop_
_space_group_symop_operation_xyz
'x,y,z'
'-y,x-y,z'
'-x+y,-x,z'
'-y,-x,z'
'-x+y,y,z'
'x,x-y,z'
loop_
_atom_site_label
_atom_site_fract_x
_atom_site_fract_y
_atom_site_fract_z
Zr1 0.0000 0.0000 0.0000
Tc1 0.3333 0.6667 0.7212
Hg1 0.6667 0.3333 0.3808
# formation energy from the elements	147.0	meV/atom
# total energy	-6.26	eV per atom

---

# ErReN, relaxed, DFT GGA-PBE
data_ErReN
_chemical_formula_sum 'Er2 Re2 N2'
_space_group_name_H-M_alt 'I 4 m m'
_space_group_IT_number 107
_space_group_name_Hall 'I 4 -2'
_cell_length_a 2.840
_cell_length_b 2.840
_cell_length_c 10.435
_cell_angle_alpha 90.00
_cell_angle_beta 90.00
_cell_angle_gamma 90.00
loop_
_atom_site_label
_atom_site_fract_x
_atom_site_fract_y
_atom_site_fract_z
Er1 0.000 0.000 0.000
Re1 0.000 0.000 0.271
N1 0.000 0.000 0.677
# formation energy (no corrections)	0.2024	eV/atom
# total energy	-8.24	eV per atom

---

# CaCe2NdHg4, relaxed, DFT GGA-PBE
data_CaCe2NdHg4
_chemical_formula_sum 'Ca3 Ce6 Nd3 Hg12'
_space_group_name_H-M_alt 'R -3 m'
_space_group_IT_number 166
_space_group_name_Hall '-R 3 2"'
_cell_length_a 5.4063
_cell_length_b 5.4063
_cell_length_c 26.5693
_cell_angle_alpha 90.00
_cell_angle_beta 90.00
_cell_angle_gamma 120.00
loop_
_atom_site_label
_atom_site_fract_x
_atom_site_fract_y
_atom_site_fract_z
Ca1 0.0000 0.0000 0.0000
Ce1 0.0000 0.0000 0.2508
Nd1 0.0000 0.0000 0.5000
Hg1 0.0000 0.0000 0.1243
Hg2 0.0000 0.0000 0.3747
# formation energy from the elements	-404.6	meV/atom
# total energy	-2.89	eV per atom

---

# PrDyHo2Th, relaxed, DFT GGA-PBE
data_PrDyHo2Th
_chemical_formula_sum 'Pr1 Dy1 Ho2 Th1'
_space_group_name_H-M_alt 'P m m m'
_space_group_IT_number 47
_cell_length_a 3.539
_cell_length_b 5.653
_cell_length_c 8.695
_cell_angle_alpha 90.00
_cell_angle_beta 90.00
_cell_angle_gamma 90.00
loop_
_space_group_symop_operation_xyz
'x,y,z'
'-x,-y,-z'
'-x,-y,z'
'x,y,-z'
'x,-y,-z'
'-x,y,z'
'-x,y,-z'
'x,-y,z'
loop_
_atom_site_label
_atom_site_fract_x
_atom_site_fract_y
_atom_site_fract_z
Pr1 0.000 0.000 0.000
Dy1 0.500 0.000 0.500
Ho1 0.000 0.500 0.322
Th1 0.500 0.500 0.000
# formation energy from the elements	315.0	meV/atom
# total energy	-4.88	eV per atom

---

# Ti6Zn5Hg, relaxed, DFT GGA-PBE
data_Ti6Zn5Hg
_chemical_formula_sum 'Ti12 Zn10 Hg2'
_space_group_name_H-M_alt 'I m m m'
_space_group_IT_number 71
_space_group_name_Hall '-I 2 2'
_cell_length_a 4.502
_cell_length_b 6.388
_cell_length_c 13.478
_cell_angle_alpha 90.00
_cell_angle_beta 90.00
_cell_angle_gamma 90.00
loop_
_atom_site_label
_atom_site_fract_x
_atom_site_fract_y
_atom_site_fract_z
Ti1 0.000 0.235 0.000
Ti2 0.000 0.257 0.329
Zn1 0.000 0.000 0.168
Zn2 0.000 0.500 0.163
Zn3 0.000 0.500 0.500
Hg1 0.000 0.000 0.500
# formation energy from the elements	-130.4	meV/atom
# total energy	-4.63	eV per atom

---

# Si2OsCl, relaxed, DFT GGA-PBE
data_Si2OsCl
_chemical_formula_sum 'Si4 Os2 Cl2'
_space_group_name_H-M_alt 'C 1 m 1'
_space_group_IT_number 8
_cell_length_a 7.768
_cell_length_b 3.018
_cell_length_c 7.563
_cell_angle_alpha 90.00
_cell_angle_beta 96.43
_cell_angle_gamma 90.00
loop_
_space_group_symop_operation_xyz
'x,y,z'
'x,-y,z'
'x+1/2,y+1/2,z'
'x+1/2,-y+1/2,z'
loop_
_atom_site_label
_atom_site_fract_x
_atom_site_fract_y
_atom_site_fract_z
Si1 0.000 0.000 0.000
Si2 0.061 0.500 0.728
Os1 0.286 0.000 0.838
Cl1 0.056 0.000 0.274
# formation energy (no corrections)	-0.0878	eV/atom
# total energy	-6.07	eV per atom

---

# LiV2Te4, relaxed, DFT GGA-PBE
data_LiV2Te4
_chemical_formula_sum 'Li2 V4 Te8'
_space_group_name_H-M_alt 'C 1 2/m 1'
_space_group_IT_number 12
_cell_length_a 15.141
_cell_length_b 3.772
_cell_length_c 6.687
_cell_angle_alpha 90.00
_cell_angle_beta 114.01
_cell_angle_gamma 90.00
loop_
_space_group_symop_operation_xyz
'x,y,z'
'-x,-y,-z'
'-x,y,-z'
'x,-y,z'
'x+1/2,y+1/2,z'
'-x+1/2,-y+1/2,-z'
'-x+1/2,y+1/2,-z'
'x+1/2,-y+1/2,z'
loop_
_atom_site_label
_atom_site_fract_x
_atom_site_fract_y
_atom_site_fract_z
Li1 0.000 0.000 0.000
V1 0.247 0.500 0.710
Te1 0.121 0.000 0.463
Te2 0.145 0.500 0.980
# formation energy (no corrections)	-0.4748	eV/atom
# total energy	-5.15	eV per atom

---

# CsYZn2H, relaxed, DFT GGA-PBE
data_CsYZn2H
_chemical_formula_sum 'Cs1 Y1 Zn2 H1'
_space_group_name_H-M_alt 'P 4/m m m'
_space_group_IT_number 123
_space_group_name_Hall '-P 4 2'
_cell_length_a 4.786
_cell_length_b 4.786
_cell_length_c 4.997
_cell_angle_alpha 90.00
_cell_angle_beta 90.00
_cell_angle_gamma 90.00
loop_
_atom_site_label
_atom_site_fract_x
_atom_site_fract_y
_atom_site_fract_z
Cs1 0.000 0.000 0.000
Y1 0.500 0.500 0.000
Zn1 0.000 0.500 0.500
H1 0.000 0.000 0.500
# total energy	-2.06	eV per atom